A plane-wave DFT calculation with GGA-PBE was carried out for an optimized crystal structure of SmYTmMg.

Cell: 3.6149 3.6149 9.1395 Å, 90.00 90.00 90.00°
Space group P4mm (No. 99)
Inequivalent atoms, fractional coordinates:
Sm (0.0000, 0.0000, 0.0000)
Y (0.5000, 0.5000, 0.7247)
Tm (0.5000, 0.5000, 0.2668)
Mg (0.0000, 0.0000, 0.4927)

- D(E_F): 4.863 states/eV/cell
- Energy relative to the lowest polymorph listed for this composition: 0 meV/atom
- E: -0.319 Ry/atom
- Crystal system: tetragonal
- E_form: -0.030 eV per atom